Record 1
## K6Na14Tl18Cd (PBE)

Data for a relaxed structure of K6Na14Tl18Cd.

Summary:
The value obtained for the formation energy is -0.13 eV per atom. Its volume is 32.0 A^3/atom. The calculation puts the density of states at the Fermi level at 9.90 states/eV per cell. Its total energy is -1.89 eV per atom. As for the space group: Pm-3.

Unit cell a=10.7621 b=10.7621 c=10.7621 alpha=90.00 beta=90.00 gamma=90.00
Fractional positions:
K: 0.0000 0.3104 0.5000
K: 0.0000 0.6896 0.5000
K: 0.3104 0.5000 0.0000
K: 0.5000 0.0000 0.3104
K: 0.5000 0.0000 0.6896
K: 0.6896 0.5000 0.0000
Na: 0.0000 0.5000 0.1668
Na: 0.0000 0.5000 0.8332
Na: 0.1668 0.0000 0.5000
Na: 0.2187 0.2187 0.2187
Na: 0.2187 0.2187 0.7813
Na: 0.2187 0.7813 0.2187
Na: 0.2187 0.7813 0.7813
Na: 0.5000 0.1668 0.0000
Na: 0.5000 0.8332 0.0000
Na: 0.7813 0.2187 0.2187
Na: 0.7813 0.2187 0.7813
Na: 0.7813 0.7813 0.2187
Na: 0.7813 0.7813 0.7813
Na: 0.8332 0.0000 0.5000
Tl: 0.0000 0.0000 0.2228
Tl: 0.0000 0.0000 0.7772
Tl: 0.0000 0.2228 0.0000
Tl: 0.0000 0.7772 0.0000
Tl: 0.2228 0.0000 0.0000
Tl: 0.2436 0.5000 0.3441
Tl: 0.2436 0.5000 0.6559
Tl: 0.3441 0.2436 0.5000
Tl: 0.3441 0.7564 0.5000
Tl: 0.5000 0.3441 0.2436
Tl: 0.5000 0.3441 0.7564
Tl: 0.5000 0.6559 0.2436
Tl: 0.5000 0.6559 0.7564
Tl: 0.6559 0.2436 0.5000
Tl: 0.6559 0.7564 0.5000
Tl: 0.7564 0.5000 0.3441
Tl: 0.7564 0.5000 0.6559
Tl: 0.7772 0.0000 0.0000
Cd: 0.5000 0.5000 0.5000



Record 2
## K2NaTl6Cd (PBE)

Data for a relaxed structure of K2NaTl6Cd.

Summary:
The value obtained for the formation energy is 0.00 eV per atom. Its volume is 37.2 A^3/atom. The calculation puts the density of states at the Fermi level at 10.68 states/eV per cell. Its total energy is -1.86 eV per atom. As for the space group: R-3m.

Unit cell a=14.2890 b=14.2890 c=14.2890 alpha=32.39 beta=32.39 gamma=32.39
Fractional positions:
K: 0.1036 0.1036 0.1036
K: 0.2776 0.2776 0.2776
K: 0.7224 0.7224 0.7224
K: 0.8964 0.8964 0.8964
Na: 0.4251 0.4251 0.4251
Na: 0.5749 0.5749 0.5749
Tl: 0.0712 0.6719 0.6719
Tl: 0.2260 0.2260 0.6322
Tl: 0.2260 0.6322 0.2260
Tl: 0.3281 0.3281 0.9288
Tl: 0.3281 0.9288 0.3281
Tl: 0.3678 0.7740 0.7740
Tl: 0.6322 0.2260 0.2260
Tl: 0.6719 0.0712 0.6719
Tl: 0.6719 0.6719 0.0712
Tl: 0.7740 0.3678 0.7740
Tl: 0.7740 0.7740 0.3678
Tl: 0.9288 0.3281 0.3281
Cd: 0.0000 0.0000 0.0000
Cd: 0.5000 0.5000 0.5000